# 1
The following is a DFT calculation (PBE-GGA) of crystalline Gd2Zr2O7 at its relaxed geometry.

Lattice parameters (Å, degrees): 7.2916 6.8602 12.9059 90.00 105.26 90.00
Space group P2_1/c (No. 14)
Symmetry-distinct sites (fractional):
Gd 0.0314 0.0912 0.3601 x4
Gd 0.1779 0.1362 0.1105 x4
Zr 0.3064 0.5897 0.3886 x4
Zr 0.4416 0.6084 0.1072 x4
O 0.0644 0.7356 0.8301 x4
O 0.0868 0.0862 0.9211 x4
O 0.1806 0.0547 0.5427 x4
O 0.2963 0.1357 0.2936 x4
O 0.3075 0.5962 0.2315 x4
O 0.4093 0.5798 0.5768 x4
O 0.4525 0.6586 0.9401 x4

DOS at the Fermi energy	0.00	states/eV/cell

# 2
The following is a DFT calculation (PBE-GGA) of crystalline Gd2Zr2O7 at its relaxed geometry.

Lattice parameters (Å, degrees): 10.6721 10.6721 10.6721 90.00 90.00 90.00
Space group Fd-3m (No. 227, origin choice 2)
Symmetry-distinct sites (fractional):
Gd 0.0000 0.0000 0.0000 x16
Zr 0.0000 0.0000 0.5000 x16
O 0.0886 0.3750 0.8750 x48
O 0.1250 0.1250 0.1250 x8

DOS at the Fermi energy	0.00	states/eV/cell

no.,E_form (uncorrected) (meV/atom)
1,-3346.6
2,-3400.7